1.
## LaTa2Si (PBE)

Data for a relaxed structure of LaTa2Si.

```
LaTa2Si
1.0
-3.8946 0.0419 2.5173
-1.5557 -2.1861 -2.3705
1.3589 -4.6584 2.1798
La Si Ta
1 1 2
direct
0.5000 0.2500 0.2500 La
0.5000 0.7500 0.7500 Si
0.0000 0.9240 0.9454 Ta
0.0000 0.5760 0.5546 Ta
```

Output
The value obtained for the total moment is 0.0 Bohr magnetons per cell. For the theoretical density, the calculation gives 10.06 g/cm³. Its volume is 87.3 Å³ per cell. Its uncorrected formation energy is 249 meV per atom.



2.
## LaTa2Si (PBE)

Data for a relaxed structure of LaTa2Si.

```
LaTa2Si
1.0
5.7705 -0.0164 -0.0021
2.7964 5.0476 0.0021
-4.1023 -2.8241 2.9145
La Si Ta
1 1 2
direct
0.4712 0.4712 0.0000 La
0.2284 0.7284 0.5000 Si
0.0603 0.0603 0.0000 Ta
0.7401 0.2401 0.5000 Ta
```

Output
The value obtained for the total moment is 0.0 Bohr magnetons per cell. For the theoretical density, the calculation gives 10.33 g/cm³. Its volume is 85.0 Å³ per cell. Its uncorrected formation energy is 288 meV per atom.



3.
## La4TaSi (PBE)

Data for a relaxed structure of La4TaSi.

```
La4TaSi
1.0
0.0000 4.4282 4.4282
4.4282 0.0000 4.4282
4.4282 4.4282 0.0000
La Ta Si
4 1 1
direct
0.8767 0.3744 0.3744 La
0.3744 0.3744 0.8767 La
0.3744 0.8767 0.3744 La
0.3744 0.3744 0.3744 La
0.0000 0.0000 0.0000 Ta
0.7500 0.7500 0.7500 Si
```

Output
The value obtained for the total moment is 0.8 Bohr magnetons per cell. For the theoretical density, the calculation gives 7.31 g/cm³. Its volume is 173.7 Å³ per cell. Its uncorrected formation energy is 809 meV per atom.



4.
## LaTa2Si2 (PBE)

Data for a relaxed structure of LaTa2Si2.

```
LaTa2Si2
1.0
7.4732 0.0000 0.0000
0.0000 7.4732 0.0000
0.0000 0.0000 3.3774
Si La Ta
4 2 4
direct
0.3779 0.8779 0.0000 Si
0.8779 0.6221 0.0000 Si
0.6221 0.1221 0.0000 Si
0.1221 0.3779 0.0000 Si
0.0000 0.0000 0.0000 La
0.5000 0.5000 0.0000 La
0.1582 0.6582 0.5000 Ta
0.6582 0.8418 0.5000 Ta
0.8418 0.3418 0.5000 Ta
0.3418 0.1582 0.5000 Ta
```

Output
The value obtained for the total moment is 0.0 Bohr magnetons per cell. For the theoretical density, the calculation gives 9.81 g/cm³. Its volume is 188.6 Å³ per cell. Its uncorrected formation energy is -206 meV per atom.



5.
## LaTa3Si (PBE)

Data for a relaxed structure of LaTa3Si.

```
LaTa3Si
1.0
-0.4758 4.8088 -0.2902
-3.9272 -0.2183 2.8221
2.7903 0.5128 3.9226
Si La Ta
1 1 3
direct
0.0000 0.0000 0.0000 Si
0.5000 0.5000 0.5000 La
0.0000 0.5000 0.0000 Ta
0.0000 0.0000 0.5000 Ta
0.5000 0.0000 0.0000 Ta
```

Output
The value obtained for the total moment is 0.0 Bohr magnetons per cell. For the theoretical density, the calculation gives 10.39 g/cm³. Its volume is 113.4 Å³ per cell. Its uncorrected formation energy is 630 meV per atom.



6.
## LaTaSi3 (PBE)

Data for a relaxed structure of LaTaSi3.

```
LaTaSi3
1.0
5.0850 0.0000 0.0000
0.0000 5.0850 0.0000
0.0000 0.0000 5.0850
Si La Ta
3 1 1
direct
0.0000 0.5000 0.0000 Si
0.0000 0.0000 0.5000 Si
0.5000 0.0000 0.0000 Si
0.0000 0.0000 0.0000 La
0.5000 0.5000 0.5000 Ta
```

Output
The value obtained for the total moment is 0.0 Bohr magnetons per cell. For the theoretical density, the calculation gives 5.10 g/cm³. Its volume is 131.5 Å³ per cell. Its uncorrected formation energy is 2023 meV per atom.



7.
## LaTa2Si (PBE)

Data for a relaxed structure of LaTa2Si.

```
LaTa2Si
1.0
6.3036 -0.0011 -0.0012
3.3852 5.3175 0.0012
-4.0188 -4.1627 2.5012
La Si Ta
1 1 2
direct
0.7500 0.2500 0.5000 La
0.2500 0.7500 0.5000 Si
0.0424 0.0424 0.0000 Ta
0.4576 0.4576 0.0000 Ta
```

Output
The value obtained for the total moment is 0.0 Bohr magnetons per cell. For the theoretical density, the calculation gives 10.47 g/cm³. Its volume is 83.9 Å³ per cell. Its uncorrected formation energy is 163 meV per atom.



8.
## LaTaSi (PBE)

Data for a relaxed structure of LaTaSi.

```
LaTaSi
1.0
5.9418 -0.0036 -0.0030
3.8296 4.5430 0.0030
-4.8848 -2.2716 2.5066
La Si Ta
1 1 1
direct
0.9998 0.9998 0.0000 La
0.2851 0.2851 0.0000 Si
0.7151 0.7151 0.0000 Ta
```

Output
The value obtained for the total moment is 0.0 Bohr magnetons per cell. For the theoretical density, the calculation gives 8.53 g/cm³. Its volume is 67.7 Å³ per cell. Its uncorrected formation energy is -120 meV per atom.



9.
## LaTa2Si (PBE)

Data for a relaxed structure of LaTa2Si.

```
LaTa2Si
1.0
3.4575 0.0000 0.0000
0.0000 3.4575 0.0000
0.0000 0.0000 6.9706
La Si Ta
1 1 2
direct
0.5000 0.5000 0.2500 La
0.5000 0.5000 0.7500 Si
0.0000 0.0000 0.9280 Ta
0.0000 0.0000 0.5720 Ta
```

Output
The value obtained for the total moment is 0.0 Bohr magnetons per cell. For the theoretical density, the calculation gives 10.54 g/cm³. Its volume is 83.3 Å³ per cell. Its uncorrected formation energy is 37 meV per atom.



10.
## LaTa2Si (PBE)

Data for a relaxed structure of LaTa2Si.

```
LaTa2Si
1.0
5.4855 0.0018 0.0000
-2.0612 5.0835 0.0000
0.0000 0.0000 2.8847
La Si Ta
1 1 2
direct
0.5000 0.0000 0.5000 La
0.0000 0.5000 0.5000 Si
0.0000 0.0000 0.0000 Ta
0.5000 0.5000 0.0000 Ta
```

Output
The value obtained for the total moment is 0.0 Bohr magnetons per cell. For the theoretical density, the calculation gives 10.92 g/cm³. Its volume is 80.5 Å³ per cell. Its uncorrected formation energy is 569 meV per atom.



11.
## LaTa2Si (PBE)

Data for a relaxed structure of LaTa2Si.

```
LaTa2Si
1.0
-2.7601 -1.0193 -1.0081
2.0155 -2.0398 -1.2043
-0.7758 -5.0129 7.1925
La Si Ta
1 1 2
direct
0.0000 0.0000 0.5193 La
0.5000 0.5000 0.7871 Si
0.0000 0.0000 0.9811 Ta
0.5000 0.5000 0.2125 Ta
```

Output
The value obtained for the total moment is 0.0 Bohr magnetons per cell. For the theoretical density, the calculation gives 10.61 g/cm³. Its volume is 82.8 Å³ per cell. Its uncorrected formation energy is 106 meV per atom.



12.
## LaTaSi2Tc (PBE)

Data for a relaxed structure of LaTaSi2Tc.

```
LaTaSi2Tc
1.0
-2.6706 2.4653 1.8841
-3.0261 -1.5201 -2.3003
1.8974 -4.4856 4.1111
La Ta Si Tc
1 1 2 1
direct
0.0000 0.0000 0.0000 La
0.2500 0.7500 0.5000 Ta
0.6122 0.6122 0.2244 Si
0.3878 0.3878 0.7756 Si
0.7500 0.2500 0.5000 Tc
```

Output
The value obtained for the total moment is 0.0 Bohr magnetons per cell. For the theoretical density, the calculation gives 8.27 g/cm³. Its volume is 95.2 Å³ per cell. Its uncorrected formation energy is -605 meV per atom.



13.
## La2TaVSi (PBE)

Data for a relaxed structure of La2TaVSi.

```
La2TaVSi
1.0
-0.2533 3.4101 -3.9849
-3.2145 -2.6952 -2.1021
-3.8168 2.6165 2.4817
V La Si Ta
1 2 1 1
direct
0.0000 0.0000 0.0000 V
0.0000 0.0000 0.5000 La
0.5000 0.0000 0.0000 La
0.0000 0.5000 0.0000 Si
0.5000 0.5000 0.5000 Ta
```

Output
The value obtained for the total moment is 1.9 Bohr magnetons per cell. For the theoretical density, the calculation gives 6.90 g/cm³. Its volume is 129.4 Å³ per cell. Its uncorrected formation energy is 881 meV per atom.



14.
## LaTbSi (PBE)

Data for a relaxed structure of LaTbSi.

```
LaTbSi
1.0
4.9994 0.0000 0.0000
2.4997 4.3296 0.0000
2.4997 1.4432 4.0820
Si Tb La
1 1 1
direct
0.2500 0.2500 0.2500 Si
0.0000 0.0000 0.0000 Tb
0.5000 0.5000 0.5000 La
```

Output
The value obtained for the total moment is 0.0 Bohr magnetons per cell. For the theoretical density, the calculation gives 6.12 g/cm³. Its volume is 88.4 Å³ per cell. Its uncorrected formation energy is -453 meV per atom.



15.
## LaTbSi2 (PBE)

Data for a relaxed structure of LaTbSi2.

```
LaTbSi2
1.0
3.9387 0.0000 0.0000
0.0000 5.8963 0.0000
0.0000 0.0000 8.2149
La Tb Si
2 2 4
direct
0.0000 0.1332 0.6795 La
0.0000 0.8668 0.1795 La
0.5000 0.3654 0.3186 Tb
0.5000 0.6346 0.8186 Tb
0.0000 0.6189 0.5360 Si
0.0000 0.3811 0.0360 Si
0.5000 0.8606 0.4659 Si
0.5000 0.1394 0.9659 Si
```

Output
The value obtained for the total moment is 0.0 Bohr magnetons per cell. For the theoretical density, the calculation gives 6.16 g/cm³. Its volume is 190.8 Å³ per cell. Its uncorrected formation energy is -757 meV per atom.



16.
## LaTbSi (PBE)

Data for a relaxed structure of LaTbSi.

```
LaTbSi
1.0
-2.1719 3.0835 2.0970
-3.4441 -0.2109 -3.2570
-0.2047 -2.7635 3.8516
Si Tb La
1 1 1
direct
0.0739 0.0000 0.0000 Si
0.2312 0.3333 0.6667 Tb
0.6950 0.6667 0.3333 La
```

Output
The value obtained for the total moment is 0.0 Bohr magnetons per cell. For the theoretical density, the calculation gives 6.43 g/cm³. Its volume is 84.1 Å³ per cell. Its uncorrected formation energy is -343 meV per atom.



17.
## LaTb2Si (PBE)

Data for a relaxed structure of LaTb2Si.

```
LaTb2Si
1.0
3.6258 0.0000 0.0000
1.8129 3.1400 0.0000
1.8129 1.0467 10.9234
Si Tb La
1 2 1
direct
0.5000 0.5000 0.5000 Si
0.1083 0.1083 0.6752 Tb
0.8917 0.8917 0.3248 Tb
0.0000 0.0000 0.0000 La
```

Output
The value obtained for the total moment is 0.0 Bohr magnetons per cell. For the theoretical density, the calculation gives 6.47 g/cm³. Its volume is 124.4 Å³ per cell. Its uncorrected formation energy is -49 meV per atom.



18.
## LaTbSi2 (PBE)

Data for a relaxed structure of LaTbSi2.

```
LaTbSi2
1.0
-1.9823 0.4746 -3.9611
0.2663 -3.8625 -0.5961
-3.8991 -0.9388 4.3419
La Tb Si
1 1 2
direct
0.7248 0.0000 0.9892 La
0.4466 0.5000 0.4315 Tb
0.1513 0.5000 0.8418 Si
0.0083 0.0000 0.5555 Si
```

Output
The value obtained for the total moment is 0.0 Bohr magnetons per cell. For the theoretical density, the calculation gives 6.15 g/cm³. Its volume is 95.6 Å³ per cell. Its uncorrected formation energy is -754 meV per atom.



19.
## La3TbSi4 (PBE)

Data for a relaxed structure of La3TbSi4.

```
La3TbSi4
1.0
-0.1735 1.5686 -3.9790
-0.0334 -5.9197 -2.3323
-8.1110 2.0933 3.4814
La Tb Si
3 1 4
direct
0.0000 0.5000 0.0000 La
0.1955 0.1955 0.3910 La
0.8045 0.8045 0.6090 La
0.5000 0.0000 0.0000 Tb
0.3719 0.5561 0.7437 Si
0.6281 0.4439 0.2563 Si
0.6281 0.8124 0.2563 Si
0.3719 0.1876 0.7437 Si
```

Output
The value obtained for the total moment is 0.6 Bohr magnetons per cell. For the theoretical density, the calculation gives 5.10 g/cm³. Its volume is 223.9 Å³ per cell. Its uncorrected formation energy is -560 meV per atom.



20.
## LaTbSi (PBE)

Data for a relaxed structure of LaTbSi.

```
LaTbSi
1.0
-4.1824 1.1198 0.1519
-2.3639 -1.2290 5.6994
3.7615 5.3015 2.6486
La Tb Si
2 2 2
direct
0.7044 0.5862 0.4057 La
0.1557 0.9646 0.6873 La
0.8254 0.0603 0.1223 Tb
0.0348 0.4906 0.9707 Tb
0.4703 0.3560 0.7081 Si
0.3899 0.1949 0.3849 Si
```

Output
The value obtained for the total moment is 0.7 Bohr magnetons per cell. For the theoretical density, the calculation gives 6.37 g/cm³. Its volume is 169.8 Å³ per cell. Its uncorrected formation energy is -500 meV per atom.